Entry 1:
Material: Y3Al8Pd3
Method: DFT, GGA-PBE
State: relaxed

## Properties
SG = No. 71
Calculated volume = 18.9 Å³ per atom
VASP energy = -5.33 eV per atom
E above lowest polymorph = 10 meV per atom

a = 8.186 Å, b = 8.186 Å, c = 8.186 Å
α = 149.26°, β = 105.46°, γ = 82.76°
Atoms (fractional coordinates):
Y1 0.000 0.000 0.000
Y2 0.311 0.311 0.000
Y3 0.689 0.689 0.000
Al1 0.029 0.663 0.367
Al2 0.162 0.878 0.284
Al3 0.296 0.663 0.633
Al4 0.406 0.122 0.284
Al5 0.594 0.878 0.716
Al6 0.704 0.337 0.367
Al7 0.838 0.122 0.716
Al8 0.971 0.337 0.633
Pd1 0.290 0.500 0.790
Pd2 0.500 0.000 0.500
Pd3 0.710 0.500 0.210



Entry 2:
Material: SmErHg2
Method: DFT, GGA-PBE
State: relaxed

## Properties
SG = No. 225
Calculated volume = 26.3 Å³ per atom
VASP energy = -2.94 eV per atom
E above lowest polymorph = 9 meV per atom

a = 5.297 Å, b = 5.297 Å, c = 5.297 Å
α = 60.00°, β = 60.00°, γ = 60.00°
Atoms (fractional coordinates):
Sm1 0.000 0.000 0.000
Er1 0.500 0.500 0.500
Hg1 0.250 0.250 0.250
Hg2 0.750 0.750 0.750